# Ba2ZnRh (SCAN, PBEsol geometry)
data_Ba2ZnRh
_chemical_formula_sum 'Ba4 Zn2 Rh2'
_space_group_name_H-M_alt 'P 1'
_space_group_IT_number 1
_space_group_name_Hall 'P 1'
_cell_length_a 7.6400
_cell_length_b 4.4117
_cell_length_c 8.6462
_cell_angle_alpha 90.00
_cell_angle_beta 107.20
_cell_angle_gamma 90.00
loop_
_atom_site_label
_atom_site_fract_x
_atom_site_fract_y
_atom_site_fract_z
_atom_site_occupancy
Ba1 0.0000 0.0000 0.0000 1
Ba2 0.1679 0.0000 0.5019 1
Ba3 0.5000 0.5000 0.0000 1
Ba4 0.6679 0.5000 0.5019 1
Zn1 0.4171 0.0000 0.2507 1
Zn2 0.9171 0.5000 0.2507 1
Rh1 0.2508 0.5000 0.2519 1
Rh2 0.7508 0.0000 0.2519 1
# Formation energy from the elements ... -335.3 meV per atom
# Space-group type ... Cm, No. 8
# Uncorrected energy ... -255.5 eV for the cell shown
# V ... 34.80 Å³ per atom
# Fermi-level density of states ... 0.934 states/eV per atom

=====

# BaZrRh3 (SCAN, PBEsol geometry)
data_BaZrRh3
_chemical_formula_sum 'Ba1 Zr1 Rh3'
_space_group_name_H-M_alt 'P 1'
_space_group_IT_number 1
_space_group_name_Hall 'P 1'
_cell_length_a 4.8601
_cell_length_b 4.8601
_cell_length_c 4.8601
_cell_angle_alpha 90.00
_cell_angle_beta 90.00
_cell_angle_gamma 90.00
loop_
_atom_site_label
_atom_site_fract_x
_atom_site_fract_y
_atom_site_fract_z
_atom_site_occupancy
Ba1 0.0000 0.0000 0.0000 1
Zr1 0.5000 0.5000 0.5000 1
Rh1 0.0000 0.5000 0.5000 1
Rh2 0.5000 0.0000 0.5000 1
Rh3 0.5000 0.5000 0.0000 1
# Formation energy from the elements ... 126.7 meV per atom
# Space-group type ... Pm-3m, No. 221
# Uncorrected energy ... -170.9 eV for the cell shown
# V ... 22.96 Å³ per atom
# Fermi-level density of states ... 0.823 states/eV per atom

=====

# BaZrRh (SCAN, PBEsol geometry)
data_BaZrRh
_chemical_formula_sum 'Ba4 Zr4 Rh4'
_space_group_name_H-M_alt 'P 1'
_space_group_IT_number 1
_space_group_name_Hall 'P 1'
_cell_length_a 6.6081
_cell_length_b 6.6081
_cell_length_c 6.6081
_cell_angle_alpha 90.00
_cell_angle_beta 90.00
_cell_angle_gamma 90.00
loop_
_atom_site_label
_atom_site_fract_x
_atom_site_fract_y
_atom_site_fract_z
_atom_site_occupancy
Ba1 0.0000 0.0000 0.0000 1
Ba2 0.0000 0.5000 0.5000 1
Ba3 0.5000 0.0000 0.5000 1
Ba4 0.5000 0.5000 0.0000 1
Zr1 0.2500 0.2500 0.2500 1
Zr2 0.2500 0.7500 0.7500 1
Zr3 0.7500 0.2500 0.7500 1
Zr4 0.7500 0.7500 0.2500 1
Rh1 0.2500 0.2500 0.7500 1
Rh2 0.2500 0.7500 0.2500 1
Rh3 0.7500 0.2500 0.2500 1
Rh4 0.7500 0.7500 0.7500 1
# Formation energy from the elements ... 1139.3 meV per atom
# Space-group type ... F-43m, No. 216
# Uncorrected energy ... -402.4 eV for the cell shown
# V ... 24.05 Å³ per atom
# Fermi-level density of states ... 0.859 states/eV per atom

=====

# Ba3Ru (SCAN, PBEsol geometry)
data_Ba3Ru
_chemical_formula_sum 'Ba3 Ru1'
_space_group_name_H-M_alt 'P 1'
_space_group_IT_number 1
_space_group_name_Hall 'P 1'
_cell_length_a 4.9061
_cell_length_b 4.9181
_cell_length_c 6.4747
_cell_angle_alpha 90.00
_cell_angle_beta 90.00
_cell_angle_gamma 90.00
loop_
_atom_site_label
_atom_site_fract_x
_atom_site_fract_y
_atom_site_fract_z
_atom_site_occupancy
Ba1 0.0000 0.0000 0.0000 1
Ba2 0.0000 0.5000 0.4826 1
Ba3 0.5000 0.5000 0.0442 1
Ru1 0.5000 0.0000 0.3131 1
# Formation energy from the elements ... 614.9 meV per atom
# Space-group type ... Pmm2, No. 25
# Uncorrected energy ... -151.0 eV for the cell shown
# V ... 39.06 Å³ per atom
# Fermi-level density of states ... 0.734 states/eV per atom